(1)
Material: Ba2ScPbSe5
Method: DFT, PBE
State: optimized geometry

Cell and atoms, written as POSCAR:
```
Ba2ScPbSe5
1.0
2.162 -9.263 0.000
2.162 9.263 0.000
0.000 0.000 13.607
Ba Sc Pb Se
4 2 2 10
Cartesian
2.162 7.137 6.804
2.162 6.599 1.708
2.162 -6.599 8.512
2.162 -7.137 0.000
2.162 5.341 11.374
2.162 -5.341 4.570
2.162 0.669 3.635
2.162 -0.669 10.439
2.162 8.138 12.153
2.162 3.965 6.299
2.162 3.419 2.698
2.162 2.695 11.102
2.162 0.227 7.809
2.162 -0.227 1.005
2.162 -2.695 4.299
2.162 -3.419 9.502
2.162 -3.965 13.103
2.162 -8.138 5.349
```

Calculated values
Its raw formation energy is -1.4409 eV per atom.



(2)
Material: Zn3P
Method: DFT, PBE
State: optimized geometry

Cell and atoms, written as POSCAR:
```
Zn3P
1.0
2.588 0.000 0.000
0.000 3.482 0.000
0.000 0.000 7.184
Zn P
3 1
Cartesian
0.000 0.000 0.000
1.294 1.741 1.765
1.294 1.741 5.419
1.294 0.000 3.592
```

Calculated values
For the formation energy, the calculation gives 0.12 eV/atom. The relative energy among the computed polymorphs is 0.085 eV per atom.



(3)
Material: HfNiSb2Te
Method: DFT, PBE
State: optimized geometry

Cell and atoms, written as POSCAR:
```
HfNiSb2Te
1.0
5.482 0.000 0.000
0.000 5.482 0.000
0.000 0.000 5.439
Hf Ni Sb Te
1 1 2 1
Cartesian
0.000 0.000 0.000
2.741 2.741 2.720
0.000 2.741 0.000
2.741 0.000 0.000
0.000 0.000 2.720
```

Calculated values
Its raw formation energy is 0.7588 eV per atom. The relative energy among the computed polymorphs is 0.375 eV per atom.



(4)
Material: IrIO3
Method: DFT, PBE
State: optimized geometry

Cell and atoms, written as POSCAR:
```
IrIO3
1.0
3.991 0.000 0.000
0.000 3.991 0.000
0.000 0.000 3.991
Ir I O
1 1 3
Cartesian
0.000 0.000 0.000
1.995 1.995 1.995
0.000 0.000 1.995
0.000 1.995 0.000
1.995 0.000 0.000
```

Calculated values
Its raw formation energy is 0.1104 eV per atom.



(5)
Material: TaVCuS4
Method: DFT, PBE
State: optimized geometry

Cell and atoms, written as POSCAR:
```
TaVCuS4
1.0
-3.475 3.647 4.953
3.475 -3.647 4.953
3.475 3.647 -4.953
Ta V Cu S
2 2 2 8
Cartesian
-1.738 1.823 2.477
1.738 1.823 2.477
0.000 0.000 0.000
0.000 3.647 0.000
3.475 1.823 -1.246
0.000 1.823 6.200
1.624 1.823 0.015
1.851 -1.823 4.968
0.000 0.046 2.453
3.475 0.046 2.500
0.000 3.601 2.453
3.475 3.601 2.500
1.624 5.470 -0.015
1.851 1.823 4.938
```

Calculated values
Its raw formation energy is -0.8200 eV per atom.



(6)
Material: Y3BiC
Method: DFT, PBE
State: optimized geometry

Cell and atoms, written as POSCAR:
```
Y3BiC
1.0
-2.686 2.686 11.552
2.686 -2.686 11.552
2.686 2.686 -11.552
Y Bi C
6 2 2
Cartesian
0.000 0.000 4.374
1.410 2.686 -2.823
1.276 0.000 8.729
2.686 1.410 2.823
0.000 0.000 18.730
0.000 1.276 14.376
2.686 0.000 5.776
0.000 0.000 11.552
0.000 2.686 3.458
0.000 2.686 8.094
```

Calculated values
For the formation energy, the calculation gives 0.95 eV/atom. The relative energy among the computed polymorphs is 1.523 eV per atom.



(7)
Material: Re2NiOs
Method: DFT, PBE
State: optimized geometry

Cell and atoms, written as POSCAR:
```
Re2NiOs
1.0
0.000 3.046 3.046
3.046 0.000 3.046
3.046 3.046 0.000
Re Ni Os
2 1 1
Cartesian
1.523 1.523 1.523
4.569 4.569 4.569
0.000 0.000 0.000
3.046 3.046 3.046
```

Calculated values
For the formation energy, the calculation gives 0.41 eV/atom. The relative energy among the computed polymorphs is 0.467 eV per atom.



(8)
Material: InPd4Pb2
Method: DFT, PBE
State: optimized geometry

Cell and atoms, written as POSCAR:
```
InPd4Pb2
1.0
5.010 -4.583 0.000
5.010 4.583 0.000
-5.000 0.000 6.281
In Pd Pb
2 8 4
Cartesian
2.509 3.446 3.141
5.010 -3.446 0.000
0.494 3.296 4.932
0.708 1.105 2.706
-1.792 -1.105 5.847
2.982 1.035 4.507
5.716 1.168 3.586
5.483 -1.035 1.366
2.994 -3.296 1.791
8.216 -1.168 0.445
-1.634 1.626 4.560
0.866 -1.626 1.419
3.376 0.665 1.747
0.876 -0.665 4.888
```

Calculated values
For the formation energy, the calculation gives -0.24 eV/atom.



(9)
Material: DyCrSe3
Method: DFT, PBE
State: optimized geometry

Cell and atoms, written as POSCAR:
```
DyCrSe3
1.0
7.246 0.000 0.000
0.000 3.777 0.000
-1.321 0.000 7.761
Dy Cr Se
2 2 6
Cartesian
0.396 0.944 2.315
5.529 2.833 5.446
1.616 2.833 6.850
4.309 0.944 0.911
-0.155 0.944 7.100
0.914 2.833 4.359
2.788 2.833 1.454
3.137 0.944 6.308
5.011 0.944 3.403
6.080 2.833 0.661
```

Calculated values
Its raw formation energy is -1.0188 eV per atom.



(10)
Material: NdSmAlAu
Method: DFT, PBE
State: optimized geometry

Cell and atoms, written as POSCAR:
```
NdSmAlAu
1.0
0.000 3.728 3.728
3.728 0.000 3.728
3.728 3.728 0.000
Nd Sm Al Au
1 1 1 1
Cartesian
0.000 0.000 0.000
3.728 3.728 3.728
1.864 1.864 1.864
5.591 5.591 5.591
```

Calculated values
For the formation energy, the calculation gives -0.49 eV/atom.



(11)
Material: LiScGaNi
Method: DFT, PBE
State: optimized geometry

Cell and atoms, written as POSCAR:
```
LiScGaNi
1.0
0.000 3.074 3.074
3.074 0.000 3.074
3.074 3.074 0.000
Li Sc Ga Ni
1 1 1 1
Cartesian
0.000 0.000 0.000
4.611 4.611 4.611
1.537 1.537 1.537
3.074 3.074 3.074
```

Calculated values
For the formation energy, the calculation gives -0.47 eV/atom.



(12)
Material: BaFeRh
Method: DFT, PBE
State: optimized geometry

Cell and atoms, written as POSCAR:
```
BaFeRh
1.0
0.000 3.389 3.389
3.389 0.000 3.389
3.389 3.389 0.000
Ba Fe Rh
1 1 1
Cartesian
0.000 0.000 0.000
3.389 3.389 3.389
1.695 1.695 1.695
```

Calculated values
For the formation energy, the calculation gives 0.68 eV/atom. The relative energy among the computed polymorphs is 0.502 eV per atom.



(13)
Material: NaLiCd
Method: DFT, PBE
State: optimized geometry

Cell and atoms, written as POSCAR:
```
NaLiCd
1.0
-2.949 2.976 4.136
2.949 -2.976 4.136
2.949 2.976 -4.136
Na Li Cd
2 2 2
Cartesian
0.000 1.488 1.068
2.949 1.488 3.068
1.474 1.488 -2.068
1.474 -1.488 2.068
2.949 0.000 0.000
0.000 0.000 4.136
```

Calculated values
For the formation energy, the calculation gives -0.12 eV/atom. The relative energy among the computed polymorphs is 0.000 eV per atom.



(14)
Material: Ti4CrIr3
Method: DFT, PBE
State: optimized geometry

Cell and atoms, written as POSCAR:
```
Ti4CrIr3
1.0
3.116 0.000 0.000
0.000 3.116 0.000
0.000 0.000 12.180
Ti Cr Ir
4 1 3
Cartesian
0.000 0.000 1.417
0.000 0.000 4.539
0.000 0.000 7.641
0.000 0.000 10.764
1.558 1.558 0.000
1.558 1.558 3.051
1.558 1.558 6.090
1.558 1.558 9.129
```

Calculated values
For the formation energy, the calculation gives -0.67 eV/atom.



(15)
Material: Cu12AgAu6
Method: DFT, PBE
State: optimized geometry

Cell and atoms, written as POSCAR:
```
Cu12AgAu6
1.0
4.395 2.538 4.445
-4.395 2.538 4.445
0.000 -5.075 4.445
Cu Ag Au
12 1 6
Cartesian
-2.787 1.003 3.787
-1.008 -1.060 4.311
0.524 -2.915 3.787
-2.262 -1.912 9.547
-0.414 1.403 4.311
1.422 -0.343 4.311
-1.422 0.343 9.023
0.414 -1.403 9.023
2.262 1.912 3.787
-0.524 2.915 9.547
1.008 1.060 9.023
2.787 -1.003 9.547
0.000 0.000 6.667
-2.145 -1.855 6.966
-2.679 0.930 6.368
0.534 -2.785 6.368
-0.534 2.785 6.966
2.679 -0.930 6.966
2.145 1.855 6.368
```

Calculated values
For the formation energy, the calculation gives 0.16 eV/atom. The relative energy among the computed polymorphs is 0.000 eV per atom.



(16)
Material: Zn2Sn
Method: DFT, PBE
State: optimized geometry

Cell and atoms, written as POSCAR:
```
Zn2Sn
1.0
4.453 0.000 0.000
-0.029 4.592 0.000
-2.140 -2.183 5.968
Zn Sn
4 2
Cartesian
0.000 0.000 0.000
-0.016 2.287 1.363
0.061 -0.623 5.965
2.253 0.102 4.589
0.032 1.786 4.042
2.265 -0.602 1.947
```

Calculated values
For the formation energy, the calculation gives 0.06 eV/atom.



(17)
Material: Ni2RuCBr
Method: DFT, PBE
State: optimized geometry

Cell and atoms, written as POSCAR:
```
Ni2RuCBr
1.0
3.926 0.000 0.000
0.000 3.926 0.000
0.000 0.000 4.126
Ni Ru C Br
2 1 1 1
Cartesian
0.000 1.963 0.000
1.963 0.000 0.000
0.000 0.000 2.063
0.000 0.000 0.000
1.963 1.963 2.063
```

Calculated values
Its raw formation energy is 0.5875 eV per atom.



(18)
Material: CePd3Au2
Method: DFT, PBE
State: optimized geometry

Cell and atoms, written as POSCAR:
```
CePd3Au2
1.0
2.137 -6.344 0.000
2.137 6.344 0.000
0.000 0.000 4.027
Ce Pd Au
1 3 2
Cartesian
0.000 0.000 0.000
2.137 4.234 2.014
2.137 0.000 2.014
2.137 -4.234 2.014
2.137 2.144 0.000
2.137 -2.144 0.000
```

Calculated values
For the formation energy, the calculation gives -0.54 eV/atom. The relative energy among the computed polymorphs is 0.000 eV per atom.